La7Sb | PBEsol | optimized geometry

Its crystal system is cubic. As for the total magnetization: 0.0 μB/cell. The calculation puts the formation energy (no corrections) at -0.3086 eV per atom.

The space group is Fm-3m (No. 225) and the conventional cell measures 9.970, 9.970 and 9.970 Å, with angles of 90.00, 90.00 and 90.00 degrees. The distinct sites, in fractional coordinates, are La at (0.000, 0.000, 0.000), La at (0.000, 0.250, 0.250) and Sb at (0.000, 0.000, 0.500).